Entry 1:
## Na3TaB (GGA-PBE)

Data for an optimized crystal structure of Na3TaB.

Lattice parameters (Å, degrees): 5.0063 5.0063 5.0063 90.00 90.00 90.00
Space group Pm-3m (No. 221)
Symmetry-distinct sites (fractional):
Na 0.0000 0.0000 0.5000 [3 per cell]
Ta 0.5000 0.5000 0.5000 [1 per cell]
B 0.0000 0.0000 0.0000 [1 per cell]

Calculated values
DFT total energy   -2.743 eV/atom


Entry 2:
## NaTbB12 (GGA-PBE)

Data for an optimized crystal structure of NaTbB12.

Lattice parameters (Å, degrees): 4.1309 4.1309 8.2678 90.00 90.00 90.00
Space group P4/mmm (No. 123)
Symmetry-distinct sites (fractional):
Na 0.0000 0.0000 0.0000 [1 per cell]
Tb 0.0000 0.0000 0.5000 [1 per cell]
B 0.2007 0.5000 0.2528 [8 per cell]
B 0.5000 0.5000 0.1016 [2 per cell]
B 0.5000 0.5000 0.4011 [2 per cell]

Calculated values
DFT total energy   -6.440 eV/atom


| no. | ΔE_f (eV per atom) |
| --- | --- |
| 1 | 1.754 |
| 2 | -0.292 |